# 1
## ScRh2CF (SCAN)

Data for ScRh2CF at its PBEsol-relaxed geometry.

## Properties
DFT total energy (eV/atom): -17.61
Raw formation energy (eV per atom): 1.469

Lattice parameters (Å, degrees): 4.0623 4.6624 4.6624 90.00 90.00 90.00
Last column: magnetic moment on the atom in μB.
Fractional positions:
Sc  0.0000  0.0000  0.0000  -0.10
C  0.5000  0.0000  0.0000  0.41
Rh  0.0000  0.5000  0.0000  1.03
Rh  0.0000  0.0000  0.5000  1.03
F  0.5000  0.5000  0.5000  0.15

---

# 2
## Cd2SnHO (SCAN)

Data for Cd2SnHO at its PBEsol-relaxed geometry.

## Properties
DFT total energy (eV/atom): -20.90

Lattice parameters (Å, degrees): 3.9394 3.9394 5.4805 90.00 90.00 90.00
Fractional positions:
Cd  0.5000  0.0000  0.0000
Cd  0.0000  0.5000  0.0000
H  0.0000  0.0000  0.0000
Sn  0.0000  0.0000  0.5000
O  0.5000  0.5000  0.5000

---

# 3
## BeTlCl2 (SCAN)

Data for BeTlCl2 at its PBEsol-relaxed geometry.

## Properties
DFT total energy (eV/atom): -22.99
Raw formation energy (eV per atom): 0.173

Lattice parameters (Å, degrees): 4.9399 4.9399 4.9399 60.00 60.00 60.00
Last column: magnetic moment on the atom in μB.
Fractional positions:
Tl  0.7500  0.7500  0.7500  0.04
Cl  0.2500  0.2500  0.2500  0.19
Cl  0.0000  0.0000  0.0000  0.05
Be  0.5000  0.5000  0.5000  0.26